Entry 1:
A plane-wave DFT calculation with SCAN was carried out for a crystal of CaTlCd2Br relaxed with PBEsol.

The structure in POSCAR format:
```
CaTlCd2Br
1.0
5.497 0.000 0.000
0.000 5.497 0.000
0.000 0.000 5.856
Ca Tl Cd Br
1 1 2 1
direct
0.000 0.000 0.000
0.500 0.500 0.000
0.000 0.500 0.500
0.500 0.000 0.500
0.500 0.500 0.500
```

Computed properties:
Formation energy (no corrections) = 0.18 eV/atom
Fermi-level density of states = 2.07 states/eV per cell
E = -32.284 eV/atom

Entry 2:
A plane-wave DFT calculation with SCAN was carried out for a crystal of CaBr2Cl relaxed with PBEsol.

The structure in POSCAR format:
```
CaBr2Cl
1.0
-1.961 2.654 5.794
1.961 -2.654 5.794
1.961 2.654 -5.794
Ca Br Cl
1 2 1
direct
0.000 0.000 0.000
0.450 0.450 0.000
0.816 0.316 0.500
0.151 0.651 0.500
```

Computed properties:
Formation energy (no corrections) = -1.52 eV/atom
E = -15.665 eV/atom